Material: Li3PtSe
Method: DFT, PBE
State: optimized geometry

The structure in POSCAR format:
```
Li3PtSe
1.0
4.664 0.000 0.000
0.000 4.664 0.000
0.000 0.000 4.664
Se Pt Li
1 1 3
Cartesian
0.000 0.000 0.000
2.332 2.332 2.332
0.000 2.332 0.000
0.000 0.000 2.332
2.332 0.000 0.000
```

Results
total magnetization: 0.9 Bohr magnetons per cell
excess energy over the best structure of this formula in the dataset: 0 meV per atom
V: 20.29 A^3/atom
raw formation energy: -0.27 eV per atom
space-group type: Pm-3m